1.
Entry from Alexandria via LeMat-Bulk: a relaxed Ba2Hg9Pb crystal (GGA-PBE).

The structure in CIF format:
```
data_Ba2Hg9Pb
_symmetry_space_group_name_H-M 'P 1'
_symmetry_Int_Tables_number 1
_cell_length_a 10.528
_cell_length_b 10.528
_cell_length_c 10.528
_cell_angle_alpha 35.98
_cell_angle_beta 35.98
_cell_angle_gamma 35.98
loop_
_symmetry_equiv_pos_as_xyz
'x,y,z'
loop_
_atom_site_label
_atom_site_type_symbol
_atom_site_fract_x
_atom_site_fract_y
_atom_site_fract_z
_atom_site_occupancy
Ba1 Ba 0.134 0.134 0.134 1
Ba2 Ba 0.866 0.866 0.866 1
Hg1 Hg 0.072 0.590 0.590 1
Hg2 Hg 0.336 0.336 0.336 1
Hg3 Hg 0.410 0.410 0.928 1
Hg4 Hg 0.410 0.928 0.410 1
Hg5 Hg 0.500 0.500 0.500 1
Hg6 Hg 0.590 0.072 0.590 1
Hg7 Hg 0.590 0.590 0.072 1
Hg8 Hg 0.664 0.664 0.664 1
Hg9 Hg 0.928 0.410 0.410 1
Pb1 Pb 0.000 0.000 0.000 1
```

Calculated values
- space-group type = R-3m (166)
- energy of formation (eV/atom) = -0.21
- DFT total energy (Ry per atom) = -0.07849



2.
Entry from Alexandria via LeMat-Bulk: a relaxed ZrTiCrOs crystal (GGA-PBE).

The structure in CIF format:
```
data_ZrTiCrOs
_symmetry_space_group_name_H-M 'P 1'
_symmetry_Int_Tables_number 1
_cell_length_a 4.500
_cell_length_b 4.500
_cell_length_c 4.500
_cell_angle_alpha 60.00
_cell_angle_beta 60.00
_cell_angle_gamma 60.00
loop_
_symmetry_equiv_pos_as_xyz
'x,y,z'
loop_
_atom_site_label
_atom_site_type_symbol
_atom_site_fract_x
_atom_site_fract_y
_atom_site_fract_z
_atom_site_occupancy
Zr1 Zr 0.000 0.000 0.000 1
Ti1 Ti 0.500 0.500 0.500 1
Cr1 Cr 0.750 0.750 0.750 1
Os1 Os 0.250 0.250 0.250 1
```

Calculated values
- space-group type = F-43m (216)
- energy of formation (eV/atom) = -0.24
- DFT total energy (Ry per atom) = -0.70258



3.
Entry from Alexandria via LeMat-Bulk: a relaxed AlPH crystal (GGA-PBE).

The structure in CIF format:
```
data_AlPH
_symmetry_space_group_name_H-M 'P 1'
_symmetry_Int_Tables_number 1
_cell_length_a 3.994
_cell_length_b 4.005
_cell_length_c 6.100
_cell_angle_alpha 86.82
_cell_angle_beta 86.36
_cell_angle_gamma 67.35
loop_
_symmetry_equiv_pos_as_xyz
'x,y,z'
loop_
_atom_site_label
_atom_site_type_symbol
_atom_site_fract_x
_atom_site_fract_y
_atom_site_fract_z
_atom_site_occupancy
Al1 Al 0.163 0.166 0.304 1
Al2 Al 0.837 0.834 0.696 1
P1 P 0.190 0.188 0.732 1
P2 P 0.810 0.812 0.268 1
H1 H 0.191 0.195 0.997 1
H2 H 0.809 0.805 0.003 1
```

Calculated values
- space-group type = P-1 (2)
- polymorph energy (0 for the lowest one) (meV per atom) = 165.9
- DFT total energy (Ry per atom) = -0.30616



- The highest DFT total energy belongs to which entry?
  Ba2Hg9Pb